{
  "formula": "KBe2Al",
  "functional": "PBEsol",
  "state": "optimized geometry",
  "formation_enthalpy_0k_ev_per_atom": 1.049,
  "final_energy_ev_per_fu": -9.029,
  "dos_at_fermi_per_ev_cell": 1.8,
  "lattice": [[-1.993, -1.508, -0.538], [1.065, -2.965, 4.367], [-3.369, 3.862, 1.652]],
  "species": ["Be", "Be", "Al", "K"],
  "frac_coords": [[0.000, 0.500, 0.000], [0.000, 0.000, 0.500], [0.500, 0.500, 0.500], [0.500, 0.000, 0.000]]
}